[1]
# RbTi3B

Crystalline RbTi3B at its relaxed geometry (PBE, the Alexandria database).

Lattice parameters (Å, degrees): 4.6046 4.6046 4.6046 90.00 90.00 90.00
Closest atoms and distances in Å follow each position.
Element x y z (fractional)
Rb: 0.0000 0.0000 0.0000  6 Ti 2.30
Ti: 0.0000 0.0000 0.5000  2 Rb 2.30
Ti: 0.0000 0.5000 0.0000  2 Rb 2.30
Ti: 0.5000 0.0000 0.0000  2 Rb 2.30
B: 0.5000 0.5000 0.5000  12 Ti 3.26

## Properties
**Calculated total energy**: -17.4 eV for the cell shown
**Density**: 4.08 g cm⁻³
**Size of the total moment**: 2.0 μB per formula unit
**Calculated formation energy**: 269.7 kJ/mol of atoms
**Symmetry**: Pm-3m (221)
**Excess energy over the best structure of this formula in the dataset**: 9.912 eV per formula unit

[2]
# Rb3Pa3BiTe8

Crystalline Rb3Pa3BiTe8 at its relaxed geometry (PBE, the Alexandria database).

Lattice parameters (Å, degrees): 10.2031 10.2031 10.2031 52.01 52.01 52.01
Closest atoms and distances in Å follow each position.
Element x y z (fractional)
Rb: 0.0000 0.5000 0.5000  6 Te 3.67-3.69
Rb: 0.5000 0.0000 0.5000  6 Te 3.67-3.69
Rb: 0.5000 0.5000 0.0000  6 Te 3.67-3.69
Pa: 0.0000 0.0000 0.5000  6 Te 3.12-3.14
Pa: 0.0000 0.5000 0.0000  6 Te 3.12-3.14
Pa: 0.5000 0.0000 0.0000  6 Te 3.12-3.14
Bi: 0.5000 0.5000 0.5000  6 Te 3.19
Te: 0.2272 0.7381 0.7381  2 Pa 3.12, 1 Bi 3.19
Te: 0.2345 0.2345 0.2345  3 Pa 3.14
Te: 0.2619 0.2619 0.7728  2 Pa 3.12, 1 Bi 3.19
Te: 0.2619 0.7728 0.2619  2 Pa 3.12, 1 Bi 3.19
Te: 0.7381 0.2272 0.7381  2 Pa 3.12, 1 Bi 3.19
Te: 0.7381 0.7381 0.2272  2 Pa 3.12, 1 Bi 3.19
Te: 0.7655 0.7655 0.7655  3 Pa 3.14
Te: 0.7728 0.2619 0.2619  2 Pa 3.12, 1 Bi 3.19

## Properties
**Calculated total energy**: -72.6 eV for the cell shown
**Density**: 5.93 g cm⁻³
**Size of the total moment**: 5.0 μB per formula unit
**Formation energy without anion corrections**: -0.814 eV/atom
**Symmetry**: R-3m (166)

[3]
# Tb3Ho8Er3

Crystalline Tb3Ho8Er3 at its relaxed geometry (PBE, the Alexandria database).

Lattice parameters (Å, degrees): 9.5405 9.5405 9.5405 146.13 112.02 78.16
Closest atoms and distances in Å follow each position.
Element x y z (fractional)
Tb: 0.0000 0.0000 0.0000  2 Tb 3.19
Tb: 0.2988 0.0000 0.2988  1 Tb 3.19, 4 Er 3.45-3.51, 4 Ho 3.51
Tb: 0.7012 0.0000 0.7012  1 Tb 3.19, 4 Er 3.45-3.51, 4 Ho 3.51
Ho: 0.0551 0.3961 0.6591  5 Ho 3.08-3.39
Ho: 0.0636 0.2223 0.8413  6 Ho 3.23-3.49, 2 Er 3.55
Ho: 0.2630 0.6039 0.6591  5 Ho 3.08-3.39
Ho: 0.3809 0.2223 0.1587  6 Ho 3.23-3.49, 2 Er 3.55
Ho: 0.6191 0.7777 0.8413  6 Ho 3.23-3.49, 2 Er 3.55
Ho: 0.7370 0.3961 0.3409  5 Ho 3.08-3.39
Ho: 0.9364 0.7777 0.1587  6 Ho 3.23-3.49, 2 Er 3.55
Ho: 0.9449 0.6039 0.3409  5 Ho 3.08-3.39
Er: 0.3176 0.8176 0.5000  2 Tb 3.45, 8 Ho 3.55-3.69
Er: 0.5000 0.5000 0.0000  4 Tb 3.51, 4 Er 3.88
Er: 0.6824 0.1824 0.5000  2 Tb 3.45, 8 Ho 3.55-3.69

## Properties
**Calculated total energy**: -62.5 eV for the cell shown
**Density**: 8.69 g cm⁻³
**Size of the total moment**: 0.0 μB per formula unit
**Calculated formation energy**: 11.7 kJ/mol of atoms
**Symmetry**: Immm (71)
**Excess energy over the best structure of this formula in the dataset**: 0.088 eV per formula unit

[4]
# LiPd2Au2

Crystalline LiPd2Au2 at its relaxed geometry (PBE, the Alexandria database).

Lattice parameters (Å, degrees): 7.0312 7.0312 7.0312 147.88 147.88 46.07
Closest atoms and distances in Å follow each position.
Element x y z (fractional)
Li: 0.0000 0.0000 0.0000  8 Pd 3.03
Pd: 0.4011 0.4011 0.0000  1 Pd 2.56, 4 Au 2.76
Pd: 0.5989 0.5989 0.0000  1 Pd 2.56, 4 Au 2.76
Au: 0.2500 0.7500 0.5000  4 Au 2.75, 4 Pd 2.76
Au: 0.7500 0.2500 0.5000  4 Au 2.75, 4 Pd 2.76

## Properties
**Calculated total energy**: -18.4 eV for the cell shown
**Density**: 10.40 g cm⁻³
**Size of the total moment**: 0.0 μB per formula unit
**Calculated formation energy**: 8.5 kJ/mol of atoms
**Symmetry**: I4/mmm (139)
**Excess energy over the best structure of this formula in the dataset**: 1.312 eV per formula unit

[5]
# Fe2SbPb

Crystalline Fe2SbPb at its relaxed geometry (PBE, the Alexandria database).

Lattice parameters (Å, degrees): 3.1814 3.1814 8.0870 90.00 90.00 90.00
Closest atoms and distances in Å follow each position.
Element x y z (fractional)
Fe: 0.0000 0.0000 0.0000  4 Fe 2.52, 4 Sb 2.80
Fe: 0.5000 0.5000 0.1392  4 Fe 2.52, 1 Sb 2.79
Sb: 0.5000 0.5000 0.7947  5 Fe 2.79-2.80
Pb: 0.0000 0.0000 0.3817  5 Fe 2.98-3.09, 4 Pb 3.18

## Properties
**Calculated total energy**: -24.0 eV for the cell shown
**Density**: 8.94 g cm⁻³
**Size of the total moment**: 5.1 μB per formula unit
**Formation energy without anion corrections**: 0.199 eV/atom
**Symmetry**: P4mm (99)
**Excess energy over the best structure of this formula in the dataset**: 0.000 eV per formula unit

[6]
# ScCu2Ge

Crystalline ScCu2Ge at its relaxed geometry (PBE, the Alexandria database).

Lattice parameters (Å, degrees): 3.9223 3.9223 4.0179 90.00 90.00 90.00
Closest atoms and distances in Å follow each position.
Element x y z (fractional)
Sc: 0.0000 0.0000 0.0000  4 Ge 2.77, 8 Cu 2.81
Cu: 0.0000 0.5000 0.5000  4 Cu 2.77, 4 Ge 2.81, 4 Sc 2.81
Cu: 0.5000 0.0000 0.5000  4 Cu 2.77, 4 Ge 2.81, 4 Sc 2.81
Ge: 0.5000 0.5000 0.0000  4 Sc 2.77, 8 Cu 2.81

## Properties
**Calculated total energy**: -20.3 eV for the cell shown
**Density**: 6.57 g cm⁻³
**Size of the total moment**: 0.0 μB per formula unit
**Calculated formation energy**: -27.3 kJ/mol of atoms
**Symmetry**: P4/mmm (123)